Entry 1:
# NaBi2SeCl, optimized geometry, DFT PBE
# Crystal system: tetragonal
# Magnetization (μB/f.u.): 0.000
# Uncorrected formation energy (meV/atom): 69
# Electronic total energy (eV/atom): -2.81
data_NaBi2SeCl
_symmetry_space_group_name_H-M 'P 4/m m m'
_symmetry_Int_Tables_number 123
_symmetry_space_group_name_Hall '-P 4 2'
_cell_length_a 5.452
_cell_length_b 5.452
_cell_length_c 7.668
_cell_angle_alpha 90.00
_cell_angle_beta 90.00
_cell_angle_gamma 90.00
loop_
_atom_site_label
_atom_site_fract_x
_atom_site_fract_y
_atom_site_fract_z
_atom_site_occupancy
Na1 0.000 0.000 0.000 1
Bi1 0.000 0.500 0.500 1
Se1 0.500 0.500 0.500 1
Cl1 0.500 0.500 0.000 1

=====

Entry 2:
# BiOs, optimized geometry, DFT PBE
# Crystal system: orthorhombic
# Magnetization (μB/f.u.): 0.000
# Formation energy (eV per atom): 0.9170
# Relative energy among the computed polymorphs (meV per atom): 207
# Electronic total energy (eV/atom): -6.64
data_BiOs
_symmetry_space_group_name_H-M 'F d d d'
_symmetry_Int_Tables_number 70
_cell_length_a 6.298
_cell_length_b 8.460
_cell_length_c 13.935
_cell_angle_alpha 90.00
_cell_angle_beta 90.00
_cell_angle_gamma 90.00
loop_
_symmetry_equiv_pos_as_xyz
'x,y,z'
'-x,-y,-z'
'-x+1/4,-y+1/4,z'
'x+1/4,y+1/4,-z'
'x,-y+1/4,-z+1/4'
'-x,y+1/4,z+1/4'
'-x+1/4,y,-z+1/4'
'x+1/4,-y,z+1/4'
'x,y+1/2,z+1/2'
'-x,-y+1/2,-z+1/2'
'-x+1/4,-y+3/4,z+1/2'
'x+1/4,y+3/4,-z+1/2'
'x,-y+3/4,-z+3/4'
'-x,y+3/4,z+3/4'
'-x+1/4,y+1/2,-z+3/4'
'x+1/4,-y+1/2,z+3/4'
'x+1/2,y,z+1/2'
'-x+1/2,-y,-z+1/2'
'-x+3/4,-y+1/4,z+1/2'
'x+3/4,y+1/4,-z+1/2'
'x+1/2,-y+1/4,-z+3/4'
'-x+1/2,y+1/4,z+3/4'
'-x+3/4,y,-z+3/4'
'x+3/4,-y,z+3/4'
'x+1/2,y+1/2,z'
'-x+1/2,-y+1/2,-z'
'-x+3/4,-y+3/4,z'
'x+3/4,y+3/4,-z'
'x+1/2,-y+3/4,-z+1/4'
'-x+1/2,y+3/4,z+1/4'
'-x+3/4,y+1/2,-z+1/4'
'x+3/4,-y+1/2,z+1/4'
loop_
_atom_site_label
_atom_site_fract_x
_atom_site_fract_y
_atom_site_fract_z
_atom_site_occupancy
Bi1 0.125 0.313 0.125 1
Os1 0.125 0.125 0.539 1

=====

Entry 3:
# Ho2PdCl, optimized geometry, DFT PBE
# Crystal system: trigonal
# Magnetization (μB/f.u.): 0.000
# Relative energy among the computed polymorphs (meV per atom): 0
# Uncorrected formation energy (meV/atom): -1097
# Electronic total energy (eV/atom): -5.15
data_Ho2PdCl
_symmetry_space_group_name_H-M 'R -3 m'
_symmetry_Int_Tables_number 166
_symmetry_space_group_name_Hall '-R 3 2"'
_cell_length_a 4.2154
_cell_length_b 4.2154
_cell_length_c 24.2593
_cell_angle_alpha 90.00
_cell_angle_beta 90.00
_cell_angle_gamma 120.00
loop_
_atom_site_label
_atom_site_fract_x
_atom_site_fract_y
_atom_site_fract_z
_atom_site_occupancy
Ho1 0.0000 0.0000 0.1092 1
Pd1 0.0000 0.0000 0.5000 1
Cl1 0.0000 0.0000 0.0000 1

=====

Entry 4:
# CsK2CdAu2, optimized geometry, DFT PBE
# Crystal system: orthorhombic
# Magnetization (μB/f.u.): 0.000
# Formation energy (eV per atom): -0.2325
# Electronic total energy (eV/atom): -1.99
data_CsK2CdAu2
_symmetry_space_group_name_H-M 'P m c 21'
_symmetry_Int_Tables_number 26
_cell_length_a 4.969
_cell_length_b 9.584
_cell_length_c 9.357
_cell_angle_alpha 90.00
_cell_angle_beta 90.00
_cell_angle_gamma 90.00
loop_
_symmetry_equiv_pos_as_xyz
'x,y,z'
'-x,-y,z+1/2'
'-x,y,z'
'x,-y,z+1/2'
loop_
_atom_site_label
_atom_site_fract_x
_atom_site_fract_y
_atom_site_fract_z
_atom_site_occupancy
Cs1 0.000 0.061 0.000 1
K1 0.000 0.314 0.394 1
K2 0.500 0.422 0.061 1
Cd1 0.500 0.211 0.709 1
Au1 0.000 0.360 0.751 1
Au2 0.500 0.100 0.269 1

=====

Entry 5:
# CrTeP, optimized geometry, DFT PBE
# Crystal system: cubic
# Magnetization (μB/f.u.): 1.049
# Relative energy among the computed polymorphs (meV per atom): 0
# Uncorrected formation energy (meV/atom): -8
# Electronic total energy (eV/atom): -6.07
data_CrTeP
_symmetry_space_group_name_H-M 'P 21 3'
_symmetry_Int_Tables_number 198
_symmetry_space_group_name_Hall 'P 2ac 2ab 3'
_cell_length_a 6.138
_cell_length_b 6.138
_cell_length_c 6.138
_cell_angle_alpha 90.00
_cell_angle_beta 90.00
_cell_angle_gamma 90.00
loop_
_atom_site_label
_atom_site_fract_x
_atom_site_fract_y
_atom_site_fract_z
_atom_site_occupancy
Cr1 0.053 0.053 0.053 1
Te1 0.186 0.686 0.814 1
P1 0.158 0.842 0.342 1

=====

Entry 6:
# Tl3CoCl7, optimized geometry, DFT PBE
# Crystal system: monoclinic
# Magnetization (μB/f.u.): 0.000
# Uncorrected formation energy (meV/atom): -725
# Electronic total energy (eV/atom): -3.19
data_Tl3CoCl7
_symmetry_space_group_name_H-M 'C 1 m 1'
_symmetry_Int_Tables_number 8
_cell_length_a 10.469
_cell_length_b 9.606
_cell_length_c 7.326
_cell_angle_alpha 90.00
_cell_angle_beta 116.36
_cell_angle_gamma 90.00
loop_
_symmetry_equiv_pos_as_xyz
'x,y,z'
'x,-y,z'
'x+1/2,y+1/2,z'
'x+1/2,-y+1/2,z'
loop_
_atom_site_label
_atom_site_fract_x
_atom_site_fract_y
_atom_site_fract_z
_atom_site_occupancy
Tl1 0.000 0.000 0.000 1
Tl2 0.497 0.214 0.478 1
Co1 0.006 0.500 0.984 1
Cl1 0.012 0.000 0.427 1
Cl2 0.140 0.331 0.203 1
Cl3 0.153 0.500 0.835 1
Cl4 0.355 0.000 0.131 1
Cl5 0.371 0.170 0.770 1